[1]
# ScAsAu2 | Alexandria via LeMat-Bulk | PBE-GGA | optimized geometry
data_ScAsAu2
_cell_length_a 3.918
_cell_length_b 3.918
_cell_length_c 4.914
_cell_angle_alpha 90.00
_cell_angle_beta 90.00
_cell_angle_gamma 90.00
_symmetry_space_group_name_H-M 'P 4/m m m'
_symmetry_Int_Tables_number 123
_symmetry_space_group_name_Hall '-P 4 2'
loop_
_atom_site_label
_atom_site_type_symbol
_atom_site_fract_x
_atom_site_fract_y
_atom_site_fract_z
Sc1 Sc 0.000 0.000 0.000
As1 As 0.500 0.500 0.000
Au1 Au 0.000 0.500 0.500
# E_form	-0.588	eV/atom

---

[2]
# ScAs2Au | Alexandria via LeMat-Bulk | PBE-GGA | optimized geometry
data_ScAs2Au
_cell_length_a 6.739
_cell_length_b 6.739
_cell_length_c 6.739
_cell_angle_alpha 90.00
_cell_angle_beta 90.00
_cell_angle_gamma 90.00
_symmetry_space_group_name_H-M 'F m -3 m'
_symmetry_Int_Tables_number 225
_symmetry_space_group_name_Hall '-F 4 2 3'
loop_
_atom_site_label
_atom_site_type_symbol
_atom_site_fract_x
_atom_site_fract_y
_atom_site_fract_z
Sc1 Sc 0.000 0.000 0.000
As1 As 0.250 0.250 0.250
Au1 Au 0.000 0.000 0.500
# E_form	-0.264	eV/atom

---

[3]
# ScAs2Au | Alexandria via LeMat-Bulk | PBE-GGA | optimized geometry
data_ScAs2Au
_cell_length_a 3.783
_cell_length_b 3.783
_cell_length_c 5.573
_cell_angle_alpha 90.00
_cell_angle_beta 90.00
_cell_angle_gamma 90.00
_symmetry_space_group_name_H-M 'P 4 m m'
_symmetry_Int_Tables_number 99
loop_
_symmetry_equiv_pos_as_xyz
'x,y,z'
'-y,x,z'
'-x,-y,z'
'y,-x,z'
'-x,y,z'
'y,x,z'
'x,-y,z'
'-y,-x,z'
loop_
_atom_site_label
_atom_site_type_symbol
_atom_site_fract_x
_atom_site_fract_y
_atom_site_fract_z
Sc1 Sc 0.000 0.000 0.000
As1 As 0.000 0.000 0.510
As2 As 0.500 0.500 0.111
Au1 Au 0.500 0.500 0.620
# E_form	-0.556	eV/atom

---

[4]
# ScAs4Au | Alexandria via LeMat-Bulk | PBE-GGA | optimized geometry
data_ScAs4Au
_cell_length_a 7.815
_cell_length_b 7.815
_cell_length_c 7.815
_cell_angle_alpha 90.00
_cell_angle_beta 90.00
_cell_angle_gamma 90.00
_symmetry_space_group_name_H-M 'F -4 3 m'
_symmetry_Int_Tables_number 216
_symmetry_space_group_name_Hall 'F -4 2 3'
loop_
_atom_site_label
_atom_site_type_symbol
_atom_site_fract_x
_atom_site_fract_y
_atom_site_fract_z
Sc1 Sc 0.000 0.000 0.000
As1 As 0.124 0.124 0.624
Au1 Au 0.250 0.250 0.250
# E_form	0.049	eV/atom

---

[5]
# ScAsAu2 | Alexandria via LeMat-Bulk | PBE-GGA | optimized geometry
data_ScAsAu2
_cell_length_a 3.720
_cell_length_b 3.765
_cell_length_c 5.890
_cell_angle_alpha 90.00
_cell_angle_beta 108.41
_cell_angle_gamma 90.00
_symmetry_space_group_name_H-M 'P 1 m 1'
_symmetry_Int_Tables_number 6
loop_
_symmetry_equiv_pos_as_xyz
'x,y,z'
'x,-y,z'
loop_
_atom_site_label
_atom_site_type_symbol
_atom_site_fract_x
_atom_site_fract_y
_atom_site_fract_z
Sc1 Sc 0.000 0.000 0.000
As1 As 0.565 0.500 0.129
Au1 Au 0.331 0.500 0.659
Au2 Au 0.741 0.000 0.477
# E_form	-0.566	eV/atom

---

[6]
# ScAs2Au | Alexandria via LeMat-Bulk | PBE-GGA | optimized geometry
data_ScAs2Au
_cell_length_a 3.009
_cell_length_b 4.321
_cell_length_c 6.501
_cell_angle_alpha 90.00
_cell_angle_beta 103.26
_cell_angle_gamma 90.00
_symmetry_space_group_name_H-M 'P 1 m 1'
_symmetry_Int_Tables_number 6
loop_
_symmetry_equiv_pos_as_xyz
'x,y,z'
'x,-y,z'
loop_
_atom_site_label
_atom_site_type_symbol
_atom_site_fract_x
_atom_site_fract_y
_atom_site_fract_z
Sc1 Sc 0.000 0.000 0.000
As1 As 0.263 0.000 0.533
As2 As 0.579 0.500 0.159
Au1 Au 0.372 0.500 0.745
# E_form	-0.432	eV/atom

---

[7]
# ScAs2Au2 | Alexandria via LeMat-Bulk | PBE-GGA | optimized geometry
data_ScAs2Au2
_cell_length_a 7.247
_cell_length_b 7.247
_cell_length_c 3.756
_cell_angle_alpha 90.00
_cell_angle_beta 90.00
_cell_angle_gamma 90.00
_symmetry_space_group_name_H-M 'P 4/m b m'
_symmetry_Int_Tables_number 127
_symmetry_space_group_name_Hall '-P 4 2ab'
loop_
_atom_site_label
_atom_site_type_symbol
_atom_site_fract_x
_atom_site_fract_y
_atom_site_fract_z
Sc1 Sc 0.000 0.000 0.000
As1 As 0.162 0.338 0.000
Au1 Au 0.146 0.646 0.500
# E_form	-0.256	eV/atom

---

[8]
# ScAs2Au | Alexandria via LeMat-Bulk | PBE-GGA | optimized geometry
data_ScAs2Au
_cell_length_a 3.017
_cell_length_b 3.017
_cell_length_c 9.144
_cell_angle_alpha 90.00
_cell_angle_beta 90.00
_cell_angle_gamma 90.00
_symmetry_space_group_name_H-M 'P 4 m m'
_symmetry_Int_Tables_number 99
loop_
_symmetry_equiv_pos_as_xyz
'x,y,z'
'-y,x,z'
'-x,-y,z'
'y,-x,z'
'-x,y,z'
'y,x,z'
'x,-y,z'
'-y,-x,z'
loop_
_atom_site_label
_atom_site_type_symbol
_atom_site_fract_x
_atom_site_fract_y
_atom_site_fract_z
Sc1 Sc 0.000 0.000 0.000
As1 As 0.000 0.000 0.561
As2 As 0.500 0.500 0.210
Au1 Au 0.500 0.500 0.781
# E_form	-0.263	eV/atom